Entry 1:
A plane-wave DFT calculation with PBE was carried out for a relaxed structure of Pd3WAu.

Calculated values
Volume   115.8 Å³/cell
Magnetization   3.55 μB per cell
Formation energy   1789 meV per atom

```
data_Pd3WAu
_chemical_formula_sum 'Pd3 W1 Au1'
_space_group_name_H-M_alt 'P m -3 m'
_space_group_IT_number 221
_space_group_name_Hall '-P 4 2 3'
_cell_length_a 4.8744
_cell_length_b 4.8744
_cell_length_c 4.8744
_cell_angle_alpha 90.00
_cell_angle_beta 90.00
_cell_angle_gamma 90.00
loop_
_atom_site_label
_atom_site_type_symbol
_atom_site_fract_x
_atom_site_fract_y
_atom_site_fract_z
Pd1 Pd 0.0000 0.0000 0.5000
W1 W 0.5000 0.5000 0.5000
Au1 Au 0.0000 0.0000 0.0000
```

---

Entry 2:
A plane-wave DFT calculation with PBE was carried out for a relaxed structure of BAs2PbO8.

Calculated values
Volume   460.4 Å³/cell
Magnetization   3.10 μB per cell

```
data_BAs2PbO8
_chemical_formula_sum 'B3 As6 Pb3 O24'
_space_group_name_H-M_alt 'R 3 2'
_space_group_IT_number 155
_space_group_name_Hall 'R 3 2"'
_cell_length_a 4.7103
_cell_length_b 4.7103
_cell_length_c 23.9601
_cell_angle_alpha 90.00
_cell_angle_beta 90.00
_cell_angle_gamma 120.00
loop_
_atom_site_label
_atom_site_type_symbol
_atom_site_fract_x
_atom_site_fract_y
_atom_site_fract_z
B1 B 0.0000 0.0000 0.0000
As1 As 0.0000 0.0000 0.2676
Pb1 Pb 0.0000 0.0000 0.5000
O1 O 0.0000 0.0000 0.1958
O2 O 0.0084 0.2875 0.9530
```

---

Entry 3:
A plane-wave DFT calculation with PBE was carried out for a relaxed structure of BaBe2Si.

Calculated values
Volume   322.3 Å³/cell
Magnetization   0.00 μB per cell

```
data_BaBe2Si
_chemical_formula_sum 'Ba4 Be8 Si4'
_space_group_name_H-M_alt 'F -4 3 m'
_space_group_IT_number 216
_space_group_name_Hall 'F -4 2 3'
_cell_length_a 6.8562
_cell_length_b 6.8562
_cell_length_c 6.8562
_cell_angle_alpha 90.00
_cell_angle_beta 90.00
_cell_angle_gamma 90.00
loop_
_atom_site_label
_atom_site_type_symbol
_atom_site_fract_x
_atom_site_fract_y
_atom_site_fract_z
Ba1 Ba 0.0000 0.0000 0.0000
Be1 Be 0.0000 0.0000 0.5000
Be2 Be 0.2500 0.2500 0.2500
Si1 Si 0.2500 0.2500 0.7500
```

---

Entry 4:
A plane-wave DFT calculation with PBE was carried out for a relaxed structure of Pr2HoTh3.

Calculated values
Volume   807.2 Å³/cell
Magnetization   0.00 μB per cell
Formation energy   202 meV per atom

```
data_Pr2HoTh3
_chemical_formula_sum 'Pr8 Ho4 Th12'
_space_group_name_H-M_alt 'C m c m'
_space_group_IT_number 63
_space_group_name_Hall '-C 2c 2'
_cell_length_a 10.3434
_cell_length_b 11.4825
_cell_length_c 6.7962
_cell_angle_alpha 90.00
_cell_angle_beta 90.00
_cell_angle_gamma 90.00
loop_
_atom_site_label
_atom_site_type_symbol
_atom_site_fract_x
_atom_site_fract_y
_atom_site_fract_z
Pr1 Pr 0.1673 0.2304 0.2500
Ho1 Ho 0.0000 0.2714 0.7500
Th1 Th 0.0000 0.0000 0.0000
Th2 Th 0.1654 0.5000 0.0000
```

---

Result set for DFT total energy: -4.572, -5.809, -2.907, -5.864 eV/atom, one per record in the order listed.